Entry from Alexandria: Cs2PrAlSe4 after structural relaxation (PBE).

For the raw formation energy, the calculation gives -1.298 eV per atom. The spin magnetization comes out at 0.00 μB per formula unit. The value obtained for the density of states at the Fermi level is 0.00 states/eV/cell.

The space group is Fddd (No. 70, origin choice 2) and the conventional cell measures 6.635, 15.235 and 26.981 Å, with angles of 90.00, 90.00 and 90.00 degrees. The inequivalent atoms are Cs at (0.125, 0.125, 0.306), Pr at (0.125, 0.125, 0.125), Al at (0.125, 0.125, 0.625) and Se at (0.082, 0.278, 0.823).


Entry from Alexandria: CsPrAlSe4 after structural relaxation (PBE).

For the raw formation energy, the calculation gives -1.314 eV per atom. The spin magnetization comes out at 0.00 μB per formula unit. The value obtained for the density of states at the Fermi level is 3.42 states/eV/cell.

The space group is P2_1/m (No. 11) and the conventional cell measures 7.380, 6.102 and 10.347 Å, with angles of 90.00, 104.72 and 90.00 degrees. The inequivalent atoms are Cs at (0.249, 0.250, 0.457), Pr at (0.250, 0.250, 0.948), Al at (0.242, 0.750, 0.165), Se at (0.047, 0.750, 0.311), Se at (0.091, 0.750, 0.932) and Se at (0.499, 0.512, 0.798).


Entry from Alexandria: Cs4Pr3AlTe8 after structural relaxation (PBE).

For the raw formation energy, the calculation gives -1.178 eV per atom. The spin magnetization comes out at 0.00 μB per formula unit. The value obtained for the density of states at the Fermi level is 2.42 states/eV/cell.

The space group is R-3m (No. 166, hexagonal axes) and the conventional cell measures 9.2400, 9.2400 and 26.8028 Å, with angles of 90.00, 90.00 and 120.00 degrees. The inequivalent atoms are Cs at (0.0000, 0.0000, 0.0000), Cs at (0.0000, 0.5000, 0.0000), Pr at (0.0000, 0.5000, 0.5000), Al at (0.0000, 0.0000, 0.5000), Te at (0.0000, 0.0000, 0.2331) and Te at (0.0271, 0.5136, 0.2282).


Entry from Alexandria: Cs3Pr3AlTe8 after structural relaxation (PBE).

For the raw formation energy, the calculation gives -1.107 eV per atom. The spin magnetization comes out at 0.00 μB per formula unit. The value obtained for the density of states at the Fermi level is 37.15 states/eV/cell.

The space group is R-3m (No. 166, hexagonal axes) and the conventional cell measures 9.0558, 9.0558 and 27.7762 Å, with angles of 90.00, 90.00 and 120.00 degrees. The inequivalent atoms are Cs at (0.0000, 0.5000, 0.0000), Pr at (0.0000, 0.5000, 0.5000), Al at (0.0000, 0.0000, 0.5000), Te at (0.0000, 0.0000, 0.2330) and Te at (0.0319, 0.5160, 0.2268).


Entry from Alexandria: Cs2AlPt after structural relaxation (PBE).

The spin magnetization comes out at 0.00 μB per formula unit. Its energy above the most stable polymorph in this dataset is 722 meV/atom. The value obtained for the density of states at the Fermi level is 13.43 states/eV/cell. The formation energy comes out at 55.96 kJ/mol of atoms.

The space group is Fm-3m (No. 225) and the conventional cell measures 8.357, 8.357 and 8.357 Å, with angles of 90.00, 90.00 and 90.00 degrees. The inequivalent atoms are Cs at (0.250, 0.250, 0.250), Al at (0.000, 0.000, 0.000) and Pt at (0.000, 0.000, 0.500).


Entry from Alexandria: Cs2AlPt after structural relaxation (PBE).

The spin magnetization comes out at 0.00 μB per formula unit. Its energy above the most stable polymorph in this dataset is 0 meV/atom. The value obtained for the density of states at the Fermi level is 10.40 states/eV/cell. The formation energy comes out at -13.74 kJ/mol of atoms.

The space group is I-42d (No. 122) and the conventional cell measures 13.342, 13.342 and 4.772 Å, with angles of 90.00, 90.00 and 90.00 degrees. The inequivalent atoms are Cs at (0.071, 0.750, 0.125), Al at (0.000, 0.000, 0.500) and Pt at (0.000, 0.000, 0.000).


Entry from Alexandria: Cs2AlRuPt after structural relaxation (PBE).

The spin magnetization comes out at 2.21 μB per formula unit. The value obtained for the density of states at the Fermi level is 9.32 states/eV/cell. The formation energy comes out at 108.55 kJ/mol of atoms.

The space group is P4/mmm (No. 123) and the conventional cell measures 6.812, 6.812 and 4.655 Å, with angles of 90.00, 90.00 and 90.00 degrees. The inequivalent atoms are Cs at (0.000, 0.500, 0.000), Al at (0.000, 0.000, 0.000), Ru at (0.000, 0.000, 0.500) and Pt at (0.500, 0.500, 0.500).


Entry from Alexandria: CsSr2AlPt after structural relaxation (PBE).

The spin magnetization comes out at 0.15 μB per formula unit. The value obtained for the density of states at the Fermi level is 3.96 states/eV/cell. The formation energy comes out at -28.54 kJ/mol of atoms.

The space group is P4/mmm (No. 123) and the conventional cell measures 6.083, 6.083 and 4.983 Å, with angles of 90.00, 90.00 and 90.00 degrees. The inequivalent atoms are Cs at (0.000, 0.000, 0.000), Sr at (0.000, 0.500, 0.500), Al at (0.500, 0.500, 0.000) and Pt at (0.500, 0.500, 0.500).


Entry from Alexandria: CsPuAlS4 after structural relaxation (PBE).

For the raw formation energy, the calculation gives -1.290 eV per atom. The spin magnetization comes out at 4.00 μB per formula unit. The value obtained for the density of states at the Fermi level is 17.36 states/eV/cell.

The space group is P2_1/m (No. 11) and the conventional cell measures 6.534, 6.662 and 9.569 Å, with angles of 90.00, 108.90 and 90.00 degrees. The inequivalent atoms are Cs at (0.236, 0.250, 0.444), Pu at (0.276, 0.250, 0.951), Al at (0.267, 0.750, 0.155), S at (0.038, 0.750, 0.924), S at (0.068, 0.750, 0.305) and S at (0.492, 0.504, 0.814).


Entry from Alexandria: Cs2PuAlS4 after structural relaxation (PBE).

For the raw formation energy, the calculation gives -1.248 eV per atom. The spin magnetization comes out at 5.00 μB per formula unit. The value obtained for the density of states at the Fermi level is 71.11 states/eV/cell.

The space group is Fddd (No. 70, origin choice 2) and the conventional cell measures 6.333, 14.567 and 26.013 Å, with angles of 90.00, 90.00 and 90.00 degrees. The inequivalent atoms are Cs at (0.125, 0.125, 0.304), Pu at (0.125, 0.125, 0.125), Al at (0.125, 0.125, 0.625) and S at (0.086, 0.281, 0.826).


Entry from Alexandria: CsRbAl3 after structural relaxation (PBE).

The spin magnetization comes out at 0.00 μB per formula unit. The value obtained for the density of states at the Fermi level is 6.98 states/eV/cell. The formation energy comes out at 122.44 kJ/mol of atoms.

The space group is Pm-3m (No. 221) and the conventional cell measures 6.356, 6.356 and 6.356 Å, with angles of 90.00, 90.00 and 90.00 degrees. The inequivalent atoms are Cs at (0.000, 0.000, 0.000), Rb at (0.500, 0.500, 0.500) and Al at (0.000, 0.000, 0.500).


Entry from Alexandria: Cs2RbAl after structural relaxation (PBE).

The spin magnetization comes out at 2.00 μB per formula unit. The value obtained for the density of states at the Fermi level is 0.82 states/eV/cell. The formation energy comes out at 33.62 kJ/mol of atoms.

The space group is Fm-3m (No. 225) and the conventional cell measures 9.877, 9.877 and 9.877 Å, with angles of 90.00, 90.00 and 90.00 degrees. The inequivalent atoms are Cs at (0.250, 0.250, 0.250), Rb at (0.000, 0.000, 0.000) and Al at (0.000, 0.000, 0.500).